! YPdNO2, relaxed, DFT PBE; values from VASP
&SYSTEM
  ibrav = 0, nat = 5, ntyp = 4
/
ATOMIC_SPECIES
Y 88.91 Y.upf
Pd 106.42 Pd.upf
N 14.01 N.upf
O 16.00 O.upf
ATOMIC_POSITIONS angstrom
Y 0.000 0.000 0.000
Pd 2.021 2.021 1.929
N 2.021 2.021 0.000
O 0.000 2.021 1.929
O 2.021 0.000 1.929
CELL_PARAMETERS angstrom
4.041 0.000 0.000
0.000 4.041 0.000
0.000 0.000 3.857
! Formation energy from raw total energies   -0.77 eV per atom
! E   -33.74 eV/cell
! Symmetry   No. 123
! Total magnetic moment   0.0000 μB/atom